! NpTeN | Alexandria via LeMat-Bulk | PBE | relaxed; values from VASP
! Crystal system ... tetragonal
! Space group ... I4/mmm, No. 139
! Formation energy from raw total energies ... -481 meV per atom
! N(E_F) ... 2.6 states/eV per cell
! Magnetic moment ... 0.0 μB/f.u.
! Energy above the lowest structure with this stoichiometry ... 523 meV/atom
&SYSTEM
  ibrav = 0, nat = 6, ntyp = 3
/
ATOMIC_SPECIES
Np 237.00 Np.upf
Te 127.60 Te.upf
N 14.01 N.upf
ATOMIC_POSITIONS crystal
Np 0.0776 0.0776 0.1552
Np 0.9224 0.9224 0.8448
Te 0.3142 0.3142 0.6285
Te 0.6858 0.6858 0.3715
N 0.5000 0.0000 0.0000
N 0.0000 0.5000 0.0000
CELL_PARAMETERS angstrom
-1.8707 2.2257 -2.5846
-3.1740 -2.2153 0.3895
0.1021 4.4440 6.6805